Compound: Sr4MnSn3O12
Source: Alexandria
Functional: GGA+U
Structure: optimized geometry

Cell: 8.102 8.102 8.102 Å, 90.00 90.00 90.00°
Space group Im-3m (No. 229)
Unique sites:
Sr 0.250 0.250 0.250 x8
Mn 0.000 0.000 0.000 x2
Sn 0.000 0.000 0.500 x6
O 0.000 0.000 0.242 x12
O 0.000 0.250 0.500 x12

Results
Total magnetization = 6.04 μB/cell
Energy = -6.41 eV/atom